1.
The following is a GGA-PBE calculation of a geometry-optimized Hf5NbOs6 structure, from the Alexandria database.

Geometry as POSCAR:
```
Hf5NbOs6
1.0
-3.5543 -2.6632 -1.1639
0.2455 2.3119 -6.0391
5.9988 -4.8575 1.8513
Os Hf Nb
6 5 1
Direct
0.8344 0.0833 0.6689 Os
0.1656 0.9167 0.3311 Os
0.1656 0.4144 0.3311 Os
0.5000 0.7522 0.0000 Os
0.5000 0.2478 0.0000 Os
0.8344 0.5856 0.6689 Os
0.3331 0.3331 0.6663 Hf
0.6669 0.6669 0.3337 Hf
0.3340 0.8340 0.6680 Hf
0.0000 0.5000 0.0000 Hf
0.6660 0.1660 0.3320 Hf
0.0000 0.0000 0.0000 Nb
```

Values from the calculation:
- electronic total energy (eV per cell) = -134.5
- crystal system = orthorhombic
- calculated volume (Å³/atom) = 17.0
- formation enthalpy at 0 K (eV per formula unit) = -7.25
- symmetry = Immm, No. 71

=====

2.
The following is a GGA-PBE calculation of a geometry-optimized Tl2TcMo structure, from the Alexandria database.

Geometry as POSCAR:
```
Tl2TcMo
1.0
-2.2033 0.4660 -2.1496
1.6002 -1.7589 -2.0215
-3.3877 -7.8787 1.7642
Tl Mo Tc
2 1 1
Direct
0.5000 0.0405 0.2940 Tl
0.0000 0.2106 0.9531 Tl
0.0000 0.4136 0.5471 Mo
0.5000 0.8353 0.7058 Tc
```

Values from the calculation:
- relative energy among the computed polymorphs (meV/atom) = 0
- electronic total energy (eV per cell) = -24.5
- crystal system = orthorhombic
- calculated volume (Å³/atom) = 20.9
- formation enthalpy at 0 K (eV per formula unit) = 1.45
- symmetry = Amm2, No. 38

=====

3.
The following is a GGA-PBE calculation of a geometry-optimized La6AgRu2 structure, from the Alexandria database.

Geometry as POSCAR:
```
La6AgRu2
1.0
6.3361 0.0027 1.5374
1.4604 8.7535 3.7535
0.0372 -0.1077 9.6349
La Ag Ru
12 2 4
Direct
0.6669 0.3252 0.4619 La
0.1669 0.4619 0.3252 La
0.8331 0.5381 0.6748 La
0.2107 0.0586 0.5598 La
0.2893 0.4402 0.9414 La
0.3362 0.0361 0.1756 La
0.3331 0.6748 0.5381 La
0.8362 0.1756 0.0361 La
0.6638 0.9639 0.8244 La
0.1638 0.8244 0.9639 La
0.7893 0.9414 0.4402 La
0.7107 0.5598 0.0586 La
0.2500 0.2531 0.7469 Ag
0.7500 0.7469 0.2531 Ag
0.4988 0.7561 0.7448 Ru
0.9988 0.7448 0.7561 Ru
0.0012 0.2552 0.2439 Ru
0.5012 0.2439 0.2552 Ru
```

Values from the calculation:
- relative energy among the computed polymorphs (meV/atom) = 32
- electronic total energy (eV per cell) = -105.9
- crystal system = monoclinic
- calculated volume (Å³/atom) = 29.8
- formation enthalpy at 0 K (eV per formula unit) = -1.99
- symmetry = C2/c, No. 15

=====

4.
The following is a GGA-PBE calculation of a geometry-optimized Ti5Ni2N structure, from the Alexandria database.

Geometry as POSCAR:
```
Ti5Ni2N
1.0
-2.7330 2.9030 1.0297
-1.1682 -5.3694 3.8033
6.1452 3.4088 6.6999
Ti Ni N
10 4 2
Direct
0.6945 0.3890 0.9187 Ti
0.6986 0.3972 0.2500 Ti
0.3055 0.6110 0.0813 Ti
0.3014 0.6028 0.7500 Ti
0.3055 0.6110 0.4187 Ti
0.6945 0.3890 0.5813 Ti
0.0765 0.1530 0.3894 Ti
0.0765 0.1530 0.1106 Ti
0.9235 0.8470 0.8894 Ti
0.9235 0.8470 0.6106 Ti
0.8864 0.7728 0.3674 Ni
0.1136 0.2272 0.6326 Ni
0.1136 0.2272 0.8674 Ni
0.8864 0.7728 0.1326 Ni
0.7993 0.5985 0.7500 N
0.2007 0.4015 0.2500 N
```

Values from the calculation:
- electronic total energy (eV per cell) = -122.9
- crystal system = orthorhombic
- calculated volume (Å³/atom) = 15.9
- symmetry = Cmcm, No. 63

=====

5.
The following is a GGA-PBE calculation of a geometry-optimized CuTc structure, from the Alexandria database.

Geometry as POSCAR:
```
CuTc
1.0
-3.5484 0.7953 -1.4111
0.9500 -3.6655 0.9364
-1.6238 0.7271 4.4933
Tc Cu
2 2
Direct
0.0000 0.0000 0.5000 Tc
0.0000 0.0000 0.0000 Tc
0.6667 0.3333 0.7500 Cu
0.3333 0.6667 0.2500 Cu
```

Values from the calculation:
- relative energy among the computed polymorphs (meV/atom) = 955
- electronic total energy (eV per cell) = -24.7
- crystal system = hexagonal
- calculated volume (Å³/atom) = 15.9
- formation enthalpy at 0 K (eV per formula unit) = 2.10
- symmetry = P6_3/mmc, No. 194

=====

6.
The following is a GGA-PBE calculation of a geometry-optimized CoPS2N structure, from the Alexandria database.

Geometry as POSCAR:
```
CoPS2N
1.0
-1.4002 -3.1198 -0.8464
1.0016 -2.8919 3.2878
-4.6972 0.3764 4.2656
P Co N S
1 1 1 2
Direct
0.9527 0.9840 0.0551 P
0.3397 0.2181 0.1468 Co
0.7362 0.7915 0.2771 N
0.1866 0.6622 0.8720 S
0.7955 0.3968 0.3450 S
```

Values from the calculation:
- relative energy among the computed polymorphs (meV/atom) = 89
- electronic total energy (eV per cell) = -28.9
- crystal system = triclinic
- calculated volume (Å³/atom) = 18.3
- symmetry = P1, No. 1

=====

no.,ρ (Mg/m³)
1,17.288
2,11.955
3,7.083
4,4.844
5,8.425
6,3.043